[1]
{"formula": "YCuAg2", "functional": "PBE", "state": "optimized geometry", "relative_energy_ev_per_atom": 0.197, "energy_ev_per_cell": -16.45, "delta_e_f_ev_per_atom": -0.05, "cell": [[3.437, 0.000, 0.000], [0.000, 4.516, 0.000], [-1.210, 0.000, 5.248]], "species": ["Y", "Cu", "Ag", "Ag"], "frac_coords": [[0.000, 0.000, 0.000], [0.500, 0.000, 0.500], [0.367, 0.500, 0.728], [0.633, 0.500, 0.272]]}



[2]
{"formula": "Y2CuAg", "functional": "PBE", "state": "optimized geometry", "relative_energy_ev_per_atom": 0.158, "energy_ev_per_cell": -20.38, "delta_e_f_ev_per_atom": -0.13, "cell": [[-1.759, 2.414, 5.382], [1.759, -2.414, 5.382], [1.759, 2.414, -5.382]], "species": ["Y", "Y", "Cu", "Ag"], "frac_coords": [[0.000, 0.000, 0.000], [0.713, 0.213, 0.500], [0.476, 0.476, 0.000], [0.280, 0.780, 0.500]]}



[3]
{"formula": "YZn6CuAg", "functional": "PBE", "state": "optimized geometry", "energy_ev_per_cell": -41.87, "delta_e_f_ev_per_atom": 0.01, "cell": [[-3.490, 4.437, 5.340], [3.490, -4.437, 5.340], [3.490, 4.437, -5.340]], "species": ["Y", "Y", "Zn", "Zn", "Zn", "Zn", "Zn", "Zn", "Zn", "Zn", "Zn", "Zn", "Zn", "Zn", "Cu", "Cu", "Ag", "Ag"], "frac_coords": [[0.454, 0.204, 0.250], [0.546, 0.796, 0.750], [0.139, 0.432, 0.322], [0.139, 0.817, 0.707], [0.178, 0.928, 0.250], [0.238, 0.488, 0.750], [0.390, 0.183, 0.822], [0.390, 0.568, 0.207], [0.610, 0.432, 0.793], [0.610, 0.817, 0.178], [0.762, 0.512, 0.250], [0.822, 0.072, 0.750], [0.861, 0.183, 0.293], [0.861, 0.568, 0.678], [0.000, 0.000, 0.000], [0.500, 0.000, 0.500], [0.000, 0.000, 0.500], [0.000, 0.500, 0.000]]}



[4]
{"formula": "YZnCuAg", "functional": "PBE", "state": "optimized geometry", "energy_ev_per_cell": -15.45, "delta_e_f_ev_per_atom": -0.19, "cell": [[0.000, 3.329, 3.329], [3.329, 0.000, 3.329], [3.329, 3.329, 0.000]], "species": ["Y", "Zn", "Cu", "Ag"], "frac_coords": [[0.000, 0.000, 0.000], [0.250, 0.250, 0.250], [0.750, 0.750, 0.750], [0.500, 0.500, 0.500]]}



[5]
{"formula": "YZn3CuAg", "functional": "PBE", "state": "optimized geometry", "energy_ev_per_cell": -35.11, "delta_e_f_ev_per_atom": -0.05, "cell": [[3.016, -6.535, 0.000], [3.016, 6.535, 0.000], [0.000, 0.000, 5.602]], "species": ["Y", "Y", "Zn", "Zn", "Zn", "Zn", "Zn", "Zn", "Cu", "Cu", "Ag", "Ag"], "frac_coords": [[0.193, 0.807, 0.750], [0.807, 0.193, 0.250], [0.204, 0.204, 0.000], [0.204, 0.204, 0.500], [0.356, 0.644, 0.250], [0.644, 0.356, 0.750], [0.796, 0.796, 0.000], [0.796, 0.796, 0.500], [0.147, 0.853, 0.250], [0.853, 0.147, 0.750], [0.405, 0.595, 0.750], [0.595, 0.405, 0.250]]}



[6]
{"formula": "YZn5Cu2Ag", "functional": "PBE", "state": "optimized geometry", "energy_ev_per_cell": -24.13, "delta_e_f_ev_per_atom": -0.03, "cell": [[4.648, 0.000, 0.000], [0.000, 4.648, 0.000], [0.000, 0.000, 7.147]], "species": ["Y", "Zn", "Zn", "Zn", "Zn", "Zn", "Cu", "Cu", "Ag"], "frac_coords": [[0.000, 0.000, 0.000], [0.000, 0.500, 0.276], [0.000, 0.500, 0.724], [0.500, 0.000, 0.276], [0.500, 0.000, 0.724], [0.500, 0.500, 0.000], [0.500, 0.500, 0.337], [0.500, 0.500, 0.663], [0.000, 0.000, 0.500]]}